Entry 1:
ZnP2O2 | PBE-GGA | optimized geometry

Calculated values
Space group   P4/mmm, No. 123
VASP energy   -4.9361 eV per atom
Raw formation energy   -0.534 eV/atom

Cell lengths 3.4420, 3.4420, 4.8807 Å; angles 90.00, 90.00, 90.00 degrees
Sites, in units of the cell vectors:
Zn 0.0000 0.0000 0.0000
P 0.5000 0.5000 0.0000
P 0.5000 0.5000 0.5000
O 0.0000 0.5000 0.5000
O 0.5000 0.0000 0.5000

***

Entry 2:
Zn3P2O12 | PBE-GGA | optimized geometry

Calculated values
Space group   Pnma, No. 62
VASP energy   -5.2125 eV per atom
Raw formation energy   -0.851 eV/atom

Cell lengths 10.8699, 16.8196, 4.8943 Å; angles 90.00, 90.00, 90.00 degrees
Sites, in units of the cell vectors:
Zn 0.0239 0.2500 0.0549
Zn 0.2501 0.1531 0.5052
Zn 0.2501 0.3469 0.5052
Zn 0.2499 0.6531 0.0052
Zn 0.2499 0.8469 0.0052
Zn 0.4761 0.7500 0.5549
Zn 0.5239 0.2500 0.4451
Zn 0.7501 0.1531 0.9948
Zn 0.7501 0.3469 0.9948
Zn 0.7499 0.6531 0.4948
Zn 0.7499 0.8469 0.4948
Zn 0.9761 0.7500 0.9451
P 0.0922 0.0020 0.2500
P 0.0922 0.4980 0.2500
P 0.4078 0.5020 0.7500
P 0.4078 0.9980 0.7500
P 0.5922 0.0020 0.2500
P 0.5922 0.4980 0.2500
P 0.9078 0.5020 0.7500
P 0.9078 0.9980 0.7500
O 0.0000 0.0000 0.0000
O 0.0000 0.0000 0.5000
O 0.0000 0.5000 0.0000
O 0.0000 0.5000 0.5000
O 0.1078 0.6841 0.7583
O 0.1078 0.8159 0.7583
O 0.1187 0.1844 0.7817
O 0.1187 0.3156 0.7817
O 0.1396 0.7500 0.1568
O 0.1476 0.2500 0.3507
O 0.1577 0.0806 0.2513
O 0.1577 0.4194 0.2513
O 0.1679 0.5725 0.2488
O 0.1679 0.9275 0.2488
O 0.3321 0.0725 0.7488
O 0.3321 0.4275 0.7488
O 0.3423 0.5806 0.7513
O 0.3423 0.9194 0.7513
O 0.3524 0.7500 0.8507
O 0.3604 0.2500 0.6568
O 0.3813 0.6844 0.2817
O 0.3813 0.8156 0.2817
O 0.3922 0.1841 0.2583
O 0.3922 0.3159 0.2583
O 0.5000 0.0000 0.0000
O 0.5000 0.0000 0.5000
O 0.5000 0.5000 0.0000
O 0.5000 0.5000 0.5000
O 0.6078 0.6841 0.7417
O 0.6078 0.8159 0.7417
O 0.6187 0.1844 0.7183
O 0.6187 0.3156 0.7183
O 0.6396 0.7500 0.3432
O 0.6476 0.2500 0.1493
O 0.6577 0.0806 0.2487
O 0.6577 0.4194 0.2487
O 0.6679 0.5725 0.2512
O 0.6679 0.9275 0.2512
O 0.8321 0.0725 0.7512
O 0.8321 0.4275 0.7512
O 0.8423 0.5806 0.7487
O 0.8423 0.9194 0.7487
O 0.8524 0.7500 0.6493
O 0.8604 0.2500 0.8432
O 0.8813 0.6844 0.2183
O 0.8813 0.8156 0.2183
O 0.8922 0.1841 0.2417
O 0.8922 0.3159 0.2417

***

Entry 3:
Zn3PO3 | PBE-GGA | optimized geometry

Calculated values
Space group   Pm-3n, No. 223
VASP energy   -4.0994 eV per atom
Raw formation energy   -0.656 eV/atom

Cell lengths 5.7536, 5.7536, 5.7536 Å; angles 90.00, 90.00, 90.00 degrees
Sites, in units of the cell vectors:
Zn 0.0000 0.2500 0.5000
Zn 0.0000 0.7500 0.5000
Zn 0.2500 0.5000 0.0000
Zn 0.5000 0.0000 0.2500
Zn 0.5000 0.0000 0.7500
Zn 0.7500 0.5000 0.0000
P 0.0000 0.0000 0.0000
P 0.5000 0.5000 0.5000
O 0.0000 0.5000 0.2500
O 0.0000 0.5000 0.7500
O 0.2500 0.0000 0.5000
O 0.5000 0.2500 0.0000
O 0.5000 0.7500 0.0000
O 0.7500 0.0000 0.5000

***

Entry 4:
ZnP2O6 | PBE-GGA | optimized geometry

Calculated values
Space group   Cc, No. 9
VASP energy   -6.6700 eV per atom
Raw formation energy   -2.021 eV/atom

Cell lengths 5.4962, 5.4962, 16.7850 Å; angles 91.19, 91.19, 89.85 degrees
Sites, in units of the cell vectors:
Zn 0.0866 0.7036 0.2767
Zn 0.0897 0.9103 0.5000
Zn 0.7036 0.0866 0.7767
Zn 0.9103 0.0897 0.0000
P 0.0326 0.5937 0.7544
P 0.2916 0.3243 0.1388
P 0.3093 0.8373 0.8881
P 0.3243 0.2916 0.6388
P 0.5781 0.5953 0.0214
P 0.5937 0.0326 0.2544
P 0.5953 0.5781 0.5214
P 0.8373 0.3093 0.3881
O 0.0827 0.9840 0.9030
O 0.1321 0.4236 0.2031
O 0.1653 0.1816 0.5744
O 0.1782 0.5200 0.6759
O 0.1816 0.1653 0.0744
O 0.2577 0.6444 0.8165
O 0.3525 0.6597 0.9618
O 0.3650 0.6910 0.4906
O 0.3857 0.8903 0.2856
O 0.4236 0.1321 0.7031
O 0.4308 0.5524 0.1018
O 0.5200 0.1782 0.1759
O 0.5428 0.9678 0.8721
O 0.5524 0.4308 0.6018
O 0.6444 0.2577 0.3165
O 0.6597 0.3525 0.4618
O 0.6910 0.3650 0.9906
O 0.7353 0.8112 0.0390
O 0.8112 0.7353 0.5390
O 0.8245 0.9036 0.2342
O 0.8903 0.3857 0.7856
O 0.9036 0.8245 0.7342
O 0.9678 0.5428 0.3721
O 0.9840 0.0827 0.4030